Material: ZnCo
Method: DFT, PBE-GGA
State: relaxed

- ΔH_f (0 K): 0.051 eV/atom

Unit cell a=7.944 b=7.944 c=7.944 alpha=161.07 beta=161.07 gamma=26.89
Atoms (fractional coordinates):
Zn  0.084  0.084  0.000
Zn  0.916  0.916  0.000
Co  0.299  0.299  0.000
Co  0.701  0.701  0.000


Material: ZnCo6
Method: DFT, PBE-GGA
State: relaxed

- ΔH_f (0 K): 1.090 eV/atom

Unit cell a=5.181 b=5.181 c=5.181 alpha=109.47 beta=109.47 gamma=109.47
Atoms (fractional coordinates):
Zn  0.000  0.000  0.000
Co  0.250  0.500  0.750
Co  0.250  0.750  0.500
Co  0.500  0.250  0.750
Co  0.500  0.750  0.250
Co  0.750  0.250  0.500
Co  0.750  0.500  0.250


Question: Look up the ΔH_f (0 K) of the first one.
Answer: 0.051 eV/atom